Compound: Li2FeHgPb
Source: the Alexandria database
Functional: GGA-PBE
Structure: optimized geometry

Structure (POSCAR):
```
Li2FeHgPb
1.0
-3.3445 -2.3009 2.5149
-0.5516 -3.3198 -3.7709
3.3686 -2.7698 1.9457
Pb Li Hg Fe
1 2 1 1
Direct
0.5000 0.5000 0.5000 Pb
0.0000 0.0000 0.5000 Li
0.5000 0.0000 0.0000 Li
0.0000 0.0000 0.0000 Hg
0.0000 0.5000 0.0000 Fe
```

**Space-group type**: P4/mmm, No. 123



Compound: Li2FeHgRh
Source: the Alexandria database
Functional: GGA-PBE
Structure: optimized geometry

Structure (POSCAR):
```
Li2FeHgRh
1.0
-2.6828 2.0165 -3.0521
-3.6660 -1.3413 2.3363
0.1357 3.8372 2.4159
Li Rh Hg Fe
2 1 1 1
Direct
0.0000 0.0000 0.5000 Li
0.5000 0.0000 0.0000 Li
0.0000 0.5000 0.0000 Rh
0.5000 0.5000 0.5000 Hg
0.0000 0.0000 0.0000 Fe
```

**Space-group type**: P4/mmm, No. 123



In order of appearance, magnetic moment = 3.0; 3.2 Bohr magnetons per cell.
In order of appearance, E = -14.34; -17.14 eV/f.u..